This record from Alexandria via LeMat-Bulk describes a relaxed structure of GeH6CN3Cl3. The functional is GGA-PBE.

```
GeH6CN3Cl3
1.0
8.642 0.000 0.046
0.000 7.677 0.000
-8.371 0.000 14.907
C N Cl Ge H
4 12 12 4 24
Cartesian
6.450 5.609 1.233 C
-6.179 2.068 13.720 C
2.264 5.906 8.686 C
-1.994 1.770 6.267 C
2.304 6.063 10.015 N
5.276 5.571 0.590 N
3.397 5.729 7.998 N
-5.006 2.106 14.363 N
1.091 5.944 8.043 N
-7.313 1.891 14.409 N
-3.127 1.948 6.955 N
6.490 5.452 2.561 N
-0.820 1.733 6.910 N
-6.220 2.225 12.392 N
7.583 5.786 0.544 N
-2.034 1.613 4.938 N
2.365 1.880 5.849 Cl
-3.758 2.877 10.150 Cl
-2.095 5.796 9.103 Cl
4.029 4.800 4.803 Cl
-1.821 1.958 13.303 Cl
0.427 0.961 2.696 Cl
-3.813 5.683 12.210 Cl
4.083 1.994 2.742 Cl
-0.103 1.845 10.196 Cl
-0.157 6.715 12.257 Cl
2.091 5.719 1.650 Cl
0.373 5.832 4.757 Cl
2.057 7.114 3.621 Ge
-2.129 4.401 11.074 Ge
2.399 3.275 3.879 Ge
-1.787 0.563 11.332 Ge
-0.800 6.060 14.469 H
-0.770 1.777 7.927 H
-1.289 5.590 3.041 H
1.070 1.616 0.484 H
1.469 6.304 10.548 H
3.416 2.061 0.474 H
-3.115 2.222 7.937 H
-5.385 2.466 11.859 H
-4.120 2.113 13.858 H
4.390 5.563 1.094 H
-4.336 5.743 8.417 H
-0.150 5.772 0.963 H
-3.146 5.615 14.479 H
1.040 5.900 7.025 H
0.066 1.725 6.405 H
0.204 5.952 8.548 H
0.420 1.905 13.990 H
5.745 1.752 4.458 H
-1.199 1.372 4.405 H
1.560 2.086 11.911 H
5.655 5.211 3.094 H
3.386 5.455 7.016 H
4.606 1.934 6.536 H
-5.475 5.925 10.495 H
```



This record from Alexandria via LeMat-Bulk describes a relaxed structure of PmHfCu. The functional is GGA-PBE.

```
PmHfCu
1.0
-2.269 2.424 1.255
-1.230 -2.984 -1.478
0.193 -5.849 11.648
Hf Cu Pm
2 2 2
Cartesian
-1.538 -2.878 7.799 Hf
-1.589 -1.334 4.726 Hf
-1.659 0.819 0.439 Cu
-1.217 -3.909 5.351 Cu
-1.281 -1.960 1.468 Pm
-1.153 -5.859 9.234 Pm
```

Summary:
The distance to the lowest polymorph of the same formula comes out at 204 meV/atom. As for the formation energy: 0.1934 eV per atom.



This record from Alexandria via LeMat-Bulk describes a relaxed structure of Rb2SmPaS4. The functional is GGA-PBE.

```
Rb2SmPaS4
1.0
-0.197 3.157 -2.601
-4.775 -3.544 -3.940
-4.178 4.261 5.486
Pa S Rb Sm
1 4 2 1
Cartesian
-2.486 -0.193 -3.271 Pa
-7.082 2.306 0.109 S
-2.067 1.568 -1.165 S
-4.665 2.456 3.333 S
-4.288 -1.739 -1.787 S
-2.187 3.709 1.442 Rb
-4.476 0.358 0.773 Rb
0.000 0.000 0.000 Sm
```

Summary:
For the uncorrected formation energy, the calculation gives -1.624 eV per atom.



Let's list energy in order: -5.15; -6.07; -5.71 eV per atom.